A relaxed structure of CoCuRh2, computed with GGA-PBE.

The crystal system is orthorhombic. The value obtained for the volume is 13.08 Å³/atom. As for the formation energy: 0.104 eV per atom. The magnetization comes out at 2.54 Bohr magnetons per cell. The offset from the most stable computed form is 0.072 eV/atom.

It has space group Pmm2 (No. 25), with a = 2.680 Å, b = 3.713 Å, c = 5.259 Å, α = 90.00°, β = 90.00° and γ = 90.00°. The distinct sites, in fractional coordinates, are Co at (0.000, 0.000, 0.000), Cu at (0.500, 0.500, 0.243), Rh at (0.000, 0.000, 0.490) and Rh at (0.500, 0.500, 0.760).



A relaxed structure of SmGdPdPb, computed with GGA-PBE.

The crystal system is cubic. The value obtained for the volume is 26.09 Å³/atom. As for the formation energy: -0.603 eV per atom. The magnetization comes out at 29.07 Bohr magnetons per cell.

It has space group F-43m (No. 216), with a = 7.474 Å, b = 7.474 Å, c = 7.474 Å, α = 90.00°, β = 90.00° and γ = 90.00°. The distinct sites, in fractional coordinates, are Sm at (0.000, 0.000, 0.000), Gd at (0.000, 0.000, 0.500), Pd at (0.250, 0.250, 0.750) and Pb at (0.250, 0.250, 0.250).



A relaxed structure of KBPb, computed with GGA-PBE.

The crystal system is triclinic. The value obtained for the volume is 30.49 Å³/atom. As for the formation energy: 0.445 eV per atom. The magnetization comes out at 0.00 Bohr magnetons per cell. The offset from the most stable computed form is 0.307 eV/atom.

It has space group P1 (No. 1), with a = 3.976 Å, b = 7.274 Å, c = 7.522 Å, α = 62.20°, β = 74.94° and γ = 74.27°. The distinct sites, in fractional coordinates, are K at (0.000, 0.000, 0.000), K at (0.180, 0.409, 0.231), B at (0.694, 0.691, 0.915), B at (0.830, 0.523, 0.825), Pb at (0.433, 0.493, 0.644) and Pb at (0.759, 0.922, 0.562).



A relaxed structure of TlC3, computed with GGA-PBE.

The crystal system is tetragonal. The value obtained for the volume is 18.10 Å³/atom. As for the formation energy: 0.786 eV per atom. The magnetization comes out at 0.00 Bohr magnetons per cell. The offset from the most stable computed form is 0.006 eV/atom.

It has space group P4/mmm (No. 123), with a = 4.299 Å, b = 4.299 Å, c = 3.917 Å, α = 90.00°, β = 90.00° and γ = 90.00°. The distinct sites, in fractional coordinates, are Tl at (0.000, 0.000, 0.000), C at (0.500, 0.500, 0.000) and C at (0.500, 0.500, 0.334).



A relaxed structure of FeSi, computed with GGA-PBE.

The crystal system is trigonal. The value obtained for the volume is 12.52 Å³/atom. For the energy relative to the elements, uncorrected, the calculation gives -0.15 eV per atom. The magnetization comes out at 7.52 Bohr magnetons per cell.

It has space group R-3m (No. 166, hexagonal axes), with a = 3.8188 Å, b = 3.8188 Å, c = 11.8915 Å, α = 90.00°, β = 90.00° and γ = 120.00°. The distinct sites, in fractional coordinates, are Fe at (0.0000, 0.0000, 0.1951) and Si at (0.0000, 0.0000, 0.3922).



A relaxed structure of La2GeSb3Rh4, computed with GGA-PBE.

The crystal system is tetragonal. The value obtained for the volume is 21.26 Å³/atom. For the energy relative to the elements, uncorrected, the calculation gives -0.88 eV per atom. The magnetization comes out at 0.00 Bohr magnetons per cell.

It has space group P-4m2 (No. 115), with a = 4.487 Å, b = 4.487 Å, c = 10.563 Å, α = 90.00°, β = 90.00° and γ = 90.00°. The distinct sites, in fractional coordinates, are La at (0.000, 0.500, 0.242), Ge at (0.500, 0.500, 0.000), Sb at (0.000, 0.000, 0.000), Sb at (0.000, 0.500, 0.635), Rh at (0.000, 0.000, 0.500), Rh at (0.000, 0.500, 0.881) and Rh at (0.500, 0.500, 0.500).